[1]
Computed, not measured: a relaxed structure of InRu2 at the PBE level of DFT.

Output
Total magnetic moment   2.69 μB per formula unit
ΔE_f   3.1 eV per formula unit
Space-group type   No. 225
Calculated density   9.0 g/cm³
Total DFT energy (no corrections)   -6.0500 eV per atom

Geometry as POSCAR:
```
InRu2
1.0
0.0000 3.0765 3.0765
3.0765 0.0000 3.0765
3.0765 3.0765 0.0000
In Ru
1 2
Direct
0.0000 0.0000 0.0000
0.2500 0.2500 0.2500
0.7500 0.7500 0.7500
```

---

[2]
Computed, not measured: a relaxed structure of In3Ru4 at the PBE level of DFT.

Output
Total magnetic moment   0.00 μB per formula unit
ΔE_f   4.9 eV per formula unit
Space-group type   No. 191
Calculated density   10.0 g/cm³
Total DFT energy (no corrections)   -5.7799 eV per atom

Geometry as POSCAR:
```
In3Ru4
1.0
5.5231 0.0000 0.0000
-2.7615 4.7831 0.0000
0.0000 0.0000 4.6942
In Ru
3 4
Direct
0.0000 0.5000 0.0000
0.5000 0.0000 0.0000
0.5000 0.5000 0.0000
0.0000 0.0000 0.2531
0.0000 0.0000 0.7469
0.3333 0.6667 0.5000
0.6667 0.3333 0.5000
```

---

[3]
Computed, not measured: a relaxed structure of In3Ru at the PBE level of DFT.

Output
Total magnetic moment   0.00 μB per formula unit
ΔE_f   0.8 eV per formula unit
Space-group type   No. 139
Calculated density   9.3 g/cm³
Total DFT energy (no corrections)   -4.1654 eV per atom

Geometry as POSCAR:
```
In3Ru
1.0
-2.1272 2.1272 4.3756
2.1272 -2.1272 4.3756
2.1272 2.1272 -4.3756
In Ru
3 1
Direct
0.0000 0.0000 0.0000
0.2500 0.7500 0.5000
0.7500 0.2500 0.5000
0.5000 0.5000 0.0000
```

---

[4]
Computed, not measured: a relaxed structure of In3Ru at the PBE level of DFT.

Output
Total magnetic moment   0.00 μB per formula unit
ΔE_f   0.7 eV per formula unit
Space-group type   No. 10
Calculated density   9.1 g/cm³
Total DFT energy (no corrections)   -4.1942 eV per atom

Geometry as POSCAR:
```
In3Ru
1.0
3.4744 0.0000 0.0000
0.0000 3.9754 0.0000
-0.0069 0.0000 5.8598
In Ru
3 1
Direct
0.0000 0.0000 0.0000
0.5003 0.5000 0.2674
0.4997 0.5000 0.7326
0.0000 0.0000 0.5000
```

---

[5]
Computed, not measured: a relaxed structure of In3Ru at the PBE level of DFT.

Output
Total magnetic moment   0.00 μB per formula unit
ΔE_f   1.1 eV per formula unit
Space-group type   No. 65
Calculated density   9.1 g/cm³
Total DFT energy (no corrections)   -4.1078 eV per atom

Geometry as POSCAR:
```
In3Ru
1.0
2.8929 -4.1862 0.0000
2.8929 4.1862 0.0000
0.0000 0.0000 3.3484
In Ru
3 1
Direct
0.0000 0.0000 0.0000
0.0000 0.5000 0.5000
0.5000 0.0000 0.5000
0.5000 0.5000 0.0000
```

---

[6]
Computed, not measured: a relaxed structure of In3Ru at the PBE level of DFT.

Output
Total magnetic moment   0.00 μB per formula unit
ΔE_f   0.2 eV per formula unit
Space-group type   No. 221
Calculated density   5.3 g/cm³
Total DFT energy (no corrections)   -4.3203 eV per atom

Geometry as POSCAR:
```
In3Ru
1.0
5.1737 0.0000 0.0000
0.0000 5.1737 0.0000
0.0000 0.0000 5.1737
In Ru
3 1
Direct
0.0000 0.0000 0.5000
0.0000 0.5000 0.0000
0.5000 0.0000 0.0000
0.0000 0.0000 0.0000
```

---

[7]
Computed, not measured: a relaxed structure of InRu2 at the PBE level of DFT.

Output
Total magnetic moment   0.00 μB per formula unit
ΔE_f   3.5 eV per formula unit
Space-group type   No. 205
Calculated density   8.7 g/cm³
Total DFT energy (no corrections)   -5.9281 eV per atom

Geometry as POSCAR:
```
InRu2
1.0
6.2326 0.0000 0.0000
0.0000 6.2326 0.0000
0.0000 0.0000 6.2326
In Ru
4 8
Direct
0.0000 0.0000 0.0000
0.0000 0.5000 0.5000
0.5000 0.0000 0.5000
0.5000 0.5000 0.0000
0.1049 0.6049 0.8951
0.1049 0.8951 0.3951
0.3951 0.1049 0.8951
0.3951 0.3951 0.3951
0.6049 0.6049 0.6049
0.6049 0.8951 0.1049
0.8951 0.1049 0.6049
0.8951 0.3951 0.1049
```

---

[8]
Computed, not measured: a relaxed structure of InRu2 at the PBE level of DFT.

Output
Total magnetic moment   0.87 μB per formula unit
ΔE_f   2.0 eV per formula unit
Space-group type   No. 140
Calculated density   10.2 g/cm³
Total DFT energy (no corrections)   -6.4418 eV per atom

Geometry as POSCAR:
```
InRu2
1.0
-3.0939 3.0939 2.7009
3.0939 -3.0939 2.7009
3.0939 3.0939 -2.7009
In Ru
2 4
Direct
0.2500 0.2500 0.0000
0.7500 0.7500 0.0000
0.1334 0.6334 0.7669
0.3666 0.1334 0.5000
0.6334 0.8666 0.5000
0.8666 0.3666 0.2331
```

---

[9]
Computed, not measured: a relaxed structure of InRu2 at the PBE level of DFT.

Output
Total magnetic moment   0.00 μB per formula unit
ΔE_f   0.8 eV per formula unit
Space-group type   No. 164
Calculated density   10.9 g/cm³
Total DFT energy (no corrections)   -6.8385 eV per atom

Geometry as POSCAR:
```
InRu2
1.0
2.8770 0.0000 0.0000
-1.4385 2.4916 0.0000
0.0000 0.0000 6.7351
In Ru
1 2
Direct
0.0000 0.0000 0.0000
0.3333 0.6667 0.3505
0.6667 0.3333 0.6495
```

---

[10]
Computed, not measured: a relaxed structure of InRu4 at the PBE level of DFT.

Output
Total magnetic moment   7.66 μB per formula unit
ΔE_f   12.4 eV per formula unit
Space-group type   No. 221
Calculated density   7.7 g/cm³
Total DFT energy (no corrections)   -5.4826 eV per atom

Geometry as POSCAR:
```
InRu4
1.0
4.8093 0.0000 0.0000
0.0000 4.8093 0.0000
0.0000 0.0000 4.8093
In Ru
1 4
Direct
0.0000 0.0000 0.0000
0.0000 0.0000 0.5000
0.0000 0.5000 0.0000
0.5000 0.0000 0.0000
0.5000 0.5000 0.5000
```

---

[11]
Computed, not measured: a relaxed structure of In3Ru at the PBE level of DFT.

Output
Total magnetic moment   0.00 μB per formula unit
ΔE_f   0.7 eV per formula unit
Space-group type   No. 187
Calculated density   8.3 g/cm³
Total DFT energy (no corrections)   -4.1861 eV per atom

Geometry as POSCAR:
```
In3Ru
1.0
3.2656 0.0000 0.0000
-1.6328 2.8281 0.0000
0.0000 0.0000 9.6313
In Ru
3 1
Direct
0.0000 0.0000 0.0000
0.3333 0.6667 0.2935
0.3333 0.6667 0.7065
0.0000 0.0000 0.5000
```

---

[12]
Computed, not measured: a relaxed structure of In3Ru at the PBE level of DFT.

Output
Total magnetic moment   0.00 μB per formula unit
ΔE_f   0.3 eV per formula unit
Space-group type   No. 44
Calculated density   8.4 g/cm³
Total DFT energy (no corrections)   -4.2928 eV per atom

Geometry as POSCAR:
```
In3Ru
1.0
-1.7349 4.0740 3.1011
1.7349 -4.0740 3.1011
1.7349 4.0740 -3.1011
In Ru
3 1
Direct
0.0000 0.0000 0.0000
0.2293 0.4210 0.8082
0.6128 0.4210 0.1918
0.6682 0.1682 0.5000
```